# LaBeOs (PBE, relaxed)
data_LaBeOs
_symmetry_space_group_name_H-M 'I 4 m m'
_symmetry_Int_Tables_number 107
_symmetry_space_group_name_Hall 'I 4 -2'
_cell_length_a 3.237
_cell_length_b 3.237
_cell_length_c 10.204
_cell_angle_alpha 90.00
_cell_angle_beta 90.00
_cell_angle_gamma 90.00
loop_
_atom_site_label
_atom_site_type_symbol
_atom_site_fract_x
_atom_site_fract_y
_atom_site_fract_z
La1 La 0.000 0.000 0.000
Be1 Be 0.000 0.000 0.721
Os1 Os 0.000 0.000 0.271
# DOS(E_F) (states/eV/atom): 0.54
# Calculated density (Mg/m³): 10.50
# Calculated formation energy (eV/atom): 0.00
# Spin magnetization (μB/atom): 0.000
# Final energy (eV/atom): -6.630
# E above lowest polymorph (meV/atom): 163.5